(1)
## Ac6TlIn (PBE)

Data for crystalline Ac6TlIn at its relaxed geometry.

Cell lengths 5.6875, 5.6876, 10.6968 Å; angles 74.58, 74.58, 90.00 degrees
Element x y z (fractional)
Ac1 0.6086 0.1087 0.7827
Ac2 0.3914 0.8913 0.2173
Ac3 0.2496 0.2496 0.5008
Ac4 0.8913 0.3914 0.2173
Ac5 0.1087 0.6086 0.7827
Ac6 0.7504 0.7504 0.4992
In1 0.0000 0.0000 0.0000
Tl1 0.5000 0.5000 0.0000

Computed properties:
* density: 8.71 g/cm3
* space-group type: I4/mmm
* formation enthalpy at 0 K: -17 kJ/mol of atoms
* excess energy over the best structure of this formula in the dataset: 0 meV/atom
* final energy: -3.893 eV per atom

(2)
## Ac3Tl2In3 (PBE)

Data for crystalline Ac3Tl2In3 at its relaxed geometry.

Cell lengths 4.7801, 5.6697, 10.6164 Å; angles 109.63, 103.01, 90.00 degrees
Element x y z (fractional)
Tl1 0.2403 0.2786 0.4807
Tl2 0.7597 0.7214 0.5193
In1 0.3689 0.8287 0.7377
In2 0.6311 0.1713 0.2623
In3 0.5000 0.5000 0.0000
Ac1 0.0000 0.0000 0.0000
Ac2 0.8615 0.3208 0.7230
Ac3 0.1385 0.6792 0.2770

Computed properties:
* density: 9.05 g/cm3
* space-group type: C2/m
* formation enthalpy at 0 K: -32 kJ/mol of atoms
* excess energy over the best structure of this formula in the dataset: 65 meV/atom
* final energy: -3.489 eV per atom

(3)
## Ac6Tl2In (PBE)

Data for crystalline Ac6Tl2In at its relaxed geometry.

Cell lengths 5.6617, 7.9958, 9.7931 Å; angles 114.09, 106.83, 90.00 degrees
Each line ends with the local moment (μB).
Element x y z (fractional)
Ac1 0.8341 0.5840 0.6669  0.06
Ac2 0.5000 0.7519 0.0000  0.06
Ac3 0.5000 0.2481 0.0000  0.06
Ac4 0.1659 0.4160 0.3331  0.06
Ac5 0.1659 0.9171 0.3331  0.06
Ac6 0.8341 0.0829 0.6669  0.06
In1 0.0000 0.0000 0.0000  -0.01
Tl1 0.6653 0.6662 0.3324  0.00
Tl2 0.3347 0.3338 0.6676  0.00

Computed properties:
* density: 8.16 g/cm3
* space-group type: C2/m
* formation enthalpy at 0 K: -9 kJ/mol of atoms
* excess energy over the best structure of this formula in the dataset: 136 meV/atom
* final energy: -3.665 eV per atom

(4)
## Ac7TlIn3 (PBE)

Data for crystalline Ac7TlIn3 at its relaxed geometry.

Cell lengths 6.3693, 8.8288, 8.8288 Å; angles 91.42, 111.17, 111.17 degrees
Element x y z (fractional)
In1 0.5000 0.0000 0.0000
In2 0.0000 0.7673 0.2327
In3 0.0000 0.2327 0.7673
Ac1 0.0000 0.5000 0.5000
Ac2 0.6690 0.9420 0.3967
Ac3 0.3310 0.6033 0.0580
Ac4 0.6690 0.3967 0.9420
Ac5 0.8232 0.8231 0.8231
Ac6 0.3310 0.0580 0.6033
Ac7 0.1768 0.1769 0.1769
Tl1 0.5000 0.5000 0.5000

Computed properties:
* density: 8.36 g/cm3
* space-group type: Immm
* formation enthalpy at 0 K: -18 kJ/mol of atoms
* final energy: -3.768 eV per atom

(5)
## Ac6TlIn5 (PBE)

Data for crystalline Ac6TlIn5 at its relaxed geometry.

Cell lengths 5.8129, 10.0772, 10.0772 Å; angles 119.94, 106.79, 106.79 degrees
Element x y z (fractional)
Ac1 0.7492 0.5819 0.9165
Ac2 0.2508 0.0835 0.4181
Ac3 0.7517 0.2516 0.2516
Ac4 0.2483 0.7484 0.7484
Ac5 0.2508 0.4181 0.0835
Ac6 0.7492 0.9165 0.5819
In1 0.0000 0.6666 0.3334
In2 0.5000 0.5000 0.5000
In3 0.5000 0.1663 0.8337
In4 0.0000 0.3334 0.6666
In5 0.5000 0.8337 0.1663
Tl1 0.0000 0.0000 0.0000

Computed properties:
* density: 8.51 g/cm3
* space-group type: C2/m
* formation enthalpy at 0 K: -40 kJ/mol of atoms
* excess energy over the best structure of this formula in the dataset: 0 meV/atom
* final energy: -3.803 eV per atom

(6)
## Ac3Tl3In (PBE)

Data for crystalline Ac3Tl3In at its relaxed geometry.

Cell lengths 4.9820, 6.7547, 15.7401 Å; angles 83.02, 80.89, 68.36 degrees
Element x y z (fractional)
Tl1 0.1436 0.2543 0.4585
Tl2 0.0068 0.2137 0.7727
Tl3 0.8863 0.1505 0.0770
Tl4 0.9932 0.7863 0.2273
Tl5 0.8564 0.7457 0.5415
Tl6 0.1137 0.8495 0.9230
Ac1 0.4828 0.6534 0.3810
Ac2 0.6064 0.7123 0.0749
Ac3 0.2678 0.2376 0.2268
Ac4 0.7322 0.7624 0.7732
Ac5 0.5172 0.3466 0.6190
Ac6 0.3936 0.2877 0.9251
In1 0.7751 0.0689 0.3809
In2 0.2249 0.9311 0.6191

Computed properties:
* density: 9.65 g/cm3
* space-group type: C2/m
* formation enthalpy at 0 K: -36 kJ/mol of atoms
* excess energy over the best structure of this formula in the dataset: 0 meV/atom
* final energy: -3.538 eV per atom

(7)
## Ac6TlIn5 (PBE)

Data for crystalline Ac6TlIn5 at its relaxed geometry.

Cell lengths 7.2109, 10.5070, 8.0873 Å; angles 49.49, 81.67, 77.11 degrees
Element x y z (fractional)
Ac1 0.2488 0.5832 0.3350
Ac2 0.7512 0.0818 0.3350
Ac3 0.2558 0.2477 0.0000
Ac4 0.2488 0.9182 0.6650
Ac5 0.7442 0.7523 0.0000
Ac6 0.7512 0.4168 0.6650
In1 0.5000 0.8292 0.3417
In2 0.0000 0.3396 0.3208
In3 0.5000 0.5000 0.0000
In4 0.5000 0.1708 0.6583
In5 0.0000 0.6604 0.6792
Tl1 0.0000 0.0000 0.0000

Computed properties:
* density: 7.83 g/cm3
* space-group type: C2/m
* formation enthalpy at 0 K: -24 kJ/mol of atoms
* excess energy over the best structure of this formula in the dataset: 165 meV/atom
* final energy: -3.638 eV per atom

(8)
## Ac2Tl4In3 (PBE)

Data for crystalline Ac2Tl4In3 at its relaxed geometry.

Cell lengths 6.8044, 9.3162, 9.2990 Å; angles 90.00, 111.46, 90.00 degrees
Element x y z (fractional)
Ac1 0.3817 0.0718 0.7635
Ac2 0.1183 0.5718 0.2365
Ac3 0.6183 0.9282 0.2365
Ac4 0.8817 0.4282 0.7635
Tl1 0.7935 0.2500 0.0870
Tl2 0.2065 0.7500 0.9130
Tl3 0.2935 0.2500 0.0870
Tl4 0.1788 0.9575 0.3575
Tl5 0.8212 0.0425 0.6425
Tl6 0.3212 0.4575 0.6425
Tl7 0.6788 0.5425 0.3575
Tl8 0.7065 0.7500 0.9130
In1 0.0328 0.7500 0.5656
In2 0.5328 0.7500 0.5656
In3 0.5000 0.5000 0.0000
In4 0.0000 0.0000 0.0000
In5 0.4672 0.2500 0.4344
In6 0.9672 0.2500 0.4344

Computed properties:
* density: 9.78 g/cm3
* space-group type: Cmce
* formation enthalpy at 0 K: -23 kJ/mol of atoms
* final energy: -3.116 eV per atom

(9)
## AcTlIn (PBE)

Data for crystalline AcTlIn at its relaxed geometry.

Cell lengths 3.9117, 3.9117, 6.8590 Å; angles 106.57, 106.57, 90.00 degrees
Element x y z (fractional)
Ac1 0.0016 0.0016 0.0031
In1 0.6821 0.6821 0.3642
Tl1 0.3163 0.3163 0.6327

Computed properties:
* density: 9.44 g/cm3
* space-group type: I4mm
* formation enthalpy at 0 K: -24 kJ/mol of atoms
* excess energy over the best structure of this formula in the dataset: 139 meV/atom
* final energy: -3.317 eV per atom

(10)
## Ac2Tl2In (PBE)

Data for crystalline Ac2Tl2In at its relaxed geometry.

Cell lengths 8.2036, 8.2036, 10.1173 Å; angles 90.00, 90.00, 90.00 degrees
Element x y z (fractional)
Tl1 0.3670 0.8670 0.2500
Tl2 0.8670 0.6330 0.7500
Tl3 0.6330 0.1330 0.2500
Tl4 0.8670 0.6330 0.2500
Tl5 0.1330 0.3670 0.7500
Tl6 0.3670 0.8670 0.7500
Tl7 0.1330 0.3670 0.2500
Tl8 0.6330 0.1330 0.7500
Ac1 0.8286 0.3286 0.0000
Ac2 0.6714 0.8286 0.5000
Ac3 0.1714 0.6714 0.5000
Ac4 0.1714 0.6714 0.0000
Ac5 0.3286 0.1714 0.0000
Ac6 0.6714 0.8286 0.0000
Ac7 0.8286 0.3286 0.5000
Ac8 0.3286 0.1714 0.5000
In1 0.5000 0.5000 0.7504
In2 0.0000 0.0000 0.2504
In3 0.5000 0.5000 0.2496
In4 0.0000 0.0000 0.7496

Computed properties:
* density: 9.54 g/cm3
* space-group type: P4/mnc
* formation enthalpy at 0 K: -35 kJ/mol of atoms
* excess energy over the best structure of this formula in the dataset: 19 meV/atom
* final energy: -3.499 eV per atom

(11)
## Ac8Tl6In (PBE)

Data for crystalline Ac8Tl6In at its relaxed geometry.

Cell lengths 10.0948, 10.0948, 8.9470 Å; angles 55.66, 55.66, 60.00 degrees
Element x y z (fractional)
Tl1 0.9265 0.3187 0.1913
Tl2 0.6813 0.4365 0.8087
Tl3 0.0735 0.6813 0.8087
Tl4 0.3187 0.5635 0.1913
Tl5 0.4365 0.0735 0.8087
Tl6 0.5635 0.9265 0.1913
Ac1 0.1091 0.3680 0.6921
Ac2 0.6320 0.1692 0.3079
Ac3 0.3187 0.3187 0.0440
Ac4 0.1692 0.8909 0.3079
Ac5 0.6813 0.6813 0.9560
Ac6 0.3680 0.8308 0.6921
Ac7 0.8909 0.6320 0.3079
Ac8 0.8308 0.1091 0.6921
In1 0.0000 0.0000 0.0000

Computed properties:
* density: 8.75 g/cm3
* space-group type: R-3
* formation enthalpy at 0 K: -19 kJ/mol of atoms
* final energy: -3.522 eV per atom

(12)
## Ac4TlIn2 (PBE)

Data for crystalline Ac4TlIn2 at its relaxed geometry.

Cell lengths 5.7511, 5.7511, 9.8926 Å; angles 73.10, 73.10, 60.00 degrees
Element x y z (fractional)
Ac1 0.8721 0.8721 0.3838
Ac2 0.3799 0.3799 0.8602
Ac3 0.6201 0.6201 0.1398
Ac4 0.1279 0.1279 0.6162
In1 0.2505 0.2505 0.2486
In2 0.7495 0.7495 0.7514
Tl1 0.0000 0.0000 0.0000

Computed properties:
* density: 8.35 g/cm3
* space-group type: R-3m
* formation enthalpy at 0 K: -26 kJ/mol of atoms
* excess energy over the best structure of this formula in the dataset: 0 meV/atom
* final energy: -3.742 eV per atom